Compound: Cd2GeH2
Source: Alexandria via LeMat-Bulk
Functional: GGA-PBE
Structure: relaxed

Values from the calculation:
The calculation puts the total energy at -22.25 eV for the cell shown. The distance to the lowest polymorph of the same formula is 0.00 eV per formula unit.

a b c (Å): 3.3033 3.3033 13.6553
angles (deg): 90.00 90.00 90.00
Space group I4/mmm (No. 139)
Inequivalent atoms, fractional coordinates:
Cd1 0.0000 0.0000 0.1471 x4
Ge1 0.0000 0.0000 0.5000 x2
H1 0.0000 0.5000 0.2500 x4